The following is a DFT calculation (PBE) of an optimized crystal structure of Nb3HIr.

a = 4.1476 Å, b = 4.1476 Å, c = 4.1476 Å
α = 90.00°, β = 90.00°, γ = 90.00°
Positions (direct):
1 H 0.0000 0.0000 0.0000
2 Nb 0.0000 0.5000 0.0000
3 Nb 0.0000 0.0000 0.5000
4 Nb 0.5000 0.0000 0.0000
5 Ir 0.5000 0.5000 0.5000

Properties
For the total energy, the calculation gives -43.34 eV per formula unit. The excess energy over the best structure of this formula in the dataset is 0.00 eV per formula unit.